DFT (PBE-GGA) results for crystalline Zr2InCu at its relaxed geometry.

Cell lengths 5.9065, 8.3982, 3.2286 Å; angles 90.00, 90.14, 90.00 degrees
Fractional coordinates of all 8 atoms:
Zr1 0.2500 0.2500 0.0000
Zr2 0.2500 0.7500 0.0000
Zr3 0.7500 0.2500 0.0000
Zr4 0.7500 0.7500 0.0000
In1 0.0000 0.0000 0.5000
In2 0.5000 0.5000 0.5000
Cu1 0.0000 0.5000 0.5000
Cu2 0.5000 0.0000 0.5000

Computed properties:
Energy relative to the elements, meV per atom: -138
Total magnetic moment, μB/f.u.: 0.0
Electronic total energy, Ry/atom: -0.450
Mass density, g/cm³: 7.482
DOS(E_F), states/eV/cell: 6.80